LiTbDy2S4 | PBE | relaxed

Cell: 6.733 3.885 6.734 Å, 90.00 109.39 90.00°
Positions (direct):
Li 0.000 0.000 0.000
Tb 0.000 0.500 0.500
Dy 0.500 0.000 0.500
Dy 0.500 0.500 0.000
S 0.246 0.500 0.245
S 0.247 0.000 0.755
S 0.753 0.000 0.245
S 0.754 0.500 0.755

* volume: 166.1 Å³/cell
* symmetry: No. 10
* uncorrected formation energy: -1.941 eV per atom
* crystal system: monoclinic
* calculated density: 6.2 g cm⁻³